# 1
CrReSn2Pt: optimized geometry, GGA-PBE.

Cell lengths 5.048, 4.632, 5.048 Å; angles 90.00, 90.00, 90.00 degrees
Sites, in units of the cell vectors:
Sn 0.500 0.000 0.000
Sn 0.000 0.000 0.500
Cr 0.000 0.500 0.000
Pt 0.000 0.000 0.000
Re 0.500 0.500 0.500

D(E_F)	1.226	states/eV per atom
E_tot	-28.25	eV per cell
total magnetization	2.718	μB/cell
space-group type	P4/mmm (123)

# 2
CrRe2TcPt: optimized geometry, GGA-PBE.

Cell lengths 4.402, 4.546, 4.402 Å; angles 90.00, 90.00, 90.00 degrees
Sites, in units of the cell vectors:
Re 0.000 0.000 0.500
Re 0.500 0.000 0.000
Pt 0.000 0.500 0.000
Tc 0.500 0.500 0.500
Cr 0.000 0.000 0.000

D(E_F)	1.291	states/eV per atom
E_tot	-42.83	eV per cell
total magnetization	2.172	μB/cell
space-group type	P4/mmm (123)

Question: Number 1 is which compound?
Answer: CrReSn2Pt